The following is a DFT calculation (GGA-PBE) of a geometry-optimized CuTe structure.

a b c (Å): 7.312 7.312 6.899
angles (deg): 70.74 70.74 26.74
Atoms (fractional coordinates):
Cu  0.982  0.982  0.003
Cu  0.630  0.630  0.785
Cu  0.573  0.573  0.184
Te  0.383  0.383  0.284
Te  0.050  0.050  0.604
Te  0.215  0.215  0.973

Properties
E = -3.538 eV per atom

=====

The following is a DFT calculation (GGA-PBE) of a geometry-optimized Pr8CoS3Br4 structure.

a b c (Å): 8.279 8.839 8.279
angles (deg): 117.92 120.00 90.00
Atoms (fractional coordinates):
Pr  0.226  0.701  0.974
Pr  0.227  0.701  0.453
Pr  0.266  0.297  0.532
Pr  0.748  0.701  0.974
Pr  0.252  0.299  0.026
Pr  0.734  0.703  0.468
Pr  0.773  0.299  0.547
Pr  0.774  0.299  0.026
Co  0.000  0.500  0.000
S  0.500  0.500  0.000
S  0.500  0.500  0.500
S  0.000  0.500  0.500
Br  0.500  0.000  0.000
Br  0.500  0.000  0.500
Br  0.000  0.000  0.000
Br  0.000  0.000  0.500

Properties
E = -5.415 eV per atom

=====

The following is a DFT calculation (GGA-PBE) of a geometry-optimized BiPdN structure.

a b c (Å): 3.973 3.973 11.520
angles (deg): 92.17 92.17 90.02
Atoms (fractional coordinates):
N  0.919  0.919  0.526
N  0.081  0.081  0.474
Pd  0.733  0.733  0.864
Pd  0.267  0.267  0.136
Bi  0.237  0.237  0.895
Bi  0.763  0.763  0.105

Properties
E = -5.758 eV per atom
Energy above the lowest structure with this stoichiometry = 0.0 meV/atom

=====

The following is a DFT calculation (GGA-PBE) of a geometry-optimized Ba2WCl structure.

a b c (Å): 6.444 6.444 5.616
angles (deg): 90.01 90.01 30.90
Site moments in Bohr magnetons follow the coordinates.
Atoms (fractional coordinates):
Ba  0.004  0.004  0.125  0.00
Ba  0.749  0.749  0.625  0.01
W  0.254  0.254  0.125  0.41
Cl  0.493  0.493  0.625  0.00

Properties
E = -4.437 eV per atom
Energy above the lowest structure with this stoichiometry = 71.0 meV/atom

=====

| no. | formation energy from raw total energies (eV per formula unit) |
| --- | --- |
| 1 | 0.16 |
| 2 | -22.22 |
| 3 | 0.12 |
| 4 | 0.90 |